No. 1
A relaxed structure of Ca2YbRuO6, computed with PBE.

Values from the calculation:
total magnetic moment = 2.0 μB per formula unit
uncorrected energy = -134.555 eV per cell
SG = No. 14
DOS at the Fermi energy = 1.124 states/eV/atom
formation energy (no corrections) = -2.272 eV per atom

Lattice parameters (Å, degrees): 5.817 5.574 9.732 55.51 90.00 90.00
Site moments in Bohr magnetons follow the coordinates.
Positions (direct):
Ca 0.441 0.235 0.748  0.01
Ca 0.559 0.765 0.252  0.01
Ca 0.941 0.765 0.752  0.01
Ca 0.059 0.235 0.248  0.01
Yb 0.000 0.500 0.500  -0.36
Yb 0.500 0.500 0.000  -0.36
Ru 0.000 0.000 0.000  1.61
Ru 0.500 0.000 0.500  1.61
O 0.045 0.343 0.769  0.08
O 0.955 0.657 0.231  0.08
O 0.545 0.657 0.731  0.08
O 0.455 0.343 0.269  0.08
O 0.718 0.888 0.936  0.08
O 0.282 0.112 0.064  0.08
O 0.218 0.112 0.564  0.08
O 0.782 0.888 0.436  0.08
O 0.184 0.770 0.945  0.09
O 0.816 0.230 0.055  0.09
O 0.684 0.230 0.555  0.09
O 0.316 0.770 0.445  0.09



No. 2
A relaxed structure of BiP2IrO, computed with PBE.

Values from the calculation:
total magnetic moment = 0.0 μB per formula unit
uncorrected energy = -28.043 eV per cell
SG = No. 123
excess energy over the best structure of this formula in the dataset = 0.00 eV per formula unit
DOS at the Fermi energy = 0.574 states/eV/atom
formation energy (no corrections) = 0.095 eV per atom

Lattice parameters (Å, degrees): 4.939 4.939 3.744 90.00 90.00 90.00
Positions (direct):
P 0.000 0.500 0.000
P 0.500 0.000 0.000
Ir 0.000 0.000 0.000
Bi 0.500 0.500 0.500
O 0.000 0.000 0.500



No. 3
A relaxed structure of Tb7Tl2Co2, computed with PBE.

Values from the calculation:
total magnetic moment = 0.0 μB per formula unit
uncorrected energy = -53.614 eV per cell
E_form = -0.205 eV/atom
SG = No. 44
excess energy over the best structure of this formula in the dataset = 0.00 eV per formula unit
DOS at the Fermi energy = 1.026 states/eV/atom

Lattice parameters (Å, degrees): 3.618 9.749 9.749 61.54 79.31 79.31
Positions (direct):
Tb 0.819 0.086 0.276
Tb 0.846 0.404 0.903
Tb 0.500 0.035 0.965
Tb 0.636 0.459 0.268
Tb 0.364 0.732 0.541
Tb 0.181 0.724 0.914
Tb 0.154 0.097 0.596
Tl 0.000 0.768 0.232
Tl 0.500 0.361 0.639
Co 0.737 0.857 0.668
Co 0.263 0.332 0.143